Entry 1:
A geometry-optimized Y3TeC structure. Source: Alexandria via LeMat-Bulk, functional PBE-GGA.

CIF file:
```
data_Y3TeC
_cell_length_a 3.788
_cell_length_b 19.348
_cell_length_c 7.383
_cell_angle_alpha 90.00
_cell_angle_beta 90.00
_cell_angle_gamma 90.00
_symmetry_space_group_name_H-M 'C m c 21'
_symmetry_Int_Tables_number 36
loop_
_symmetry_equiv_pos_as_xyz
'x,y,z'
'-x,-y,z+1/2'
'-x,y,z'
'x,-y,z+1/2'
'x+1/2,y+1/2,z'
'-x+1/2,-y+1/2,z+1/2'
'-x+1/2,y+1/2,z'
'x+1/2,-y+1/2,z+1/2'
loop_
_atom_site_label
_atom_site_fract_x
_atom_site_fract_y
_atom_site_fract_z
Y1 0.000 0.077 0.000
Y2 0.000 0.265 0.606
Y3 0.000 0.401 0.883
Te1 0.000 0.346 0.255
C1 0.000 0.157 0.238
```

Calculated values
- M_tot (Bohr magnetons per cell) = 0.001
- ΔE to the lowest computed polymorph (meV per atom) = 83
- E_form (uncorrected) (eV/atom) = -0.516


Entry 2:
A geometry-optimized Y5Te5C structure. Source: Alexandria via LeMat-Bulk, functional PBE-GGA.

CIF file:
```
data_Y5Te5C
_cell_length_a 13.400
_cell_length_b 6.031
_cell_length_c 8.424
_cell_angle_alpha 90.00
_cell_angle_beta 109.31
_cell_angle_gamma 90.00
_symmetry_space_group_name_H-M 'C 1 2/m 1'
_symmetry_Int_Tables_number 12
loop_
_symmetry_equiv_pos_as_xyz
'x,y,z'
'-x,-y,-z'
'-x,y,-z'
'x,-y,z'
'x+1/2,y+1/2,z'
'-x+1/2,-y+1/2,-z'
'-x+1/2,y+1/2,-z'
'x+1/2,-y+1/2,z'
loop_
_atom_site_label
_atom_site_fract_x
_atom_site_fract_y
_atom_site_fract_z
Y1 0.000 0.000 0.000
Y2 0.140 0.500 0.285
Y3 0.144 0.500 0.861
Te1 0.000 0.500 0.500
Te2 0.159 0.000 0.814
Te3 0.180 0.000 0.334
C1 0.000 0.500 0.000
```

Calculated values
- M_tot (Bohr magnetons per cell) = 0.000
- E_form (uncorrected) (eV/atom) = -1.170


Entry 3:
A geometry-optimized YTeC structure. Source: Alexandria via LeMat-Bulk, functional PBE-GGA.

CIF file:
```
data_YTeC
_cell_length_a 4.264
_cell_length_b 4.400
_cell_length_c 16.190
_cell_angle_alpha 90.00
_cell_angle_beta 90.00
_cell_angle_gamma 90.00
_symmetry_space_group_name_H-M 'I m m m'
_symmetry_Int_Tables_number 71
_symmetry_space_group_name_Hall '-I 2 2'
loop_
_atom_site_label
_atom_site_fract_x
_atom_site_fract_y
_atom_site_fract_z
Y1 0.000 0.000 0.121
Te1 0.000 0.000 0.321
C1 0.147 0.500 0.500
```

Calculated values
- M_tot (Bohr magnetons per cell) = 0.000
- E_form (uncorrected) (eV/atom) = -0.575


Entry 4:
A geometry-optimized YTe2C structure. Source: Alexandria via LeMat-Bulk, functional PBE-GGA.

CIF file:
```
data_YTe2C
_cell_length_a 4.4594
_cell_length_b 4.4594
_cell_length_c 22.8204
_cell_angle_alpha 90.00
_cell_angle_beta 90.00
_cell_angle_gamma 120.00
_symmetry_space_group_name_H-M 'R -3 m'
_symmetry_Int_Tables_number 166
_symmetry_space_group_name_Hall '-R 3 2"'
loop_
_atom_site_label
_atom_site_fract_x
_atom_site_fract_y
_atom_site_fract_z
Y1 0.0000 0.0000 0.0000
Te1 0.0000 0.0000 0.4084
C1 0.0000 0.0000 0.5000
```

Calculated values
- M_tot (Bohr magnetons per cell) = 5.343
- E_form (uncorrected) (eV/atom) = 0.590


Entry 5:
A geometry-optimized Y6TeC4 structure. Source: Alexandria via LeMat-Bulk, functional PBE-GGA.

CIF file:
```
data_Y6TeC4
_cell_length_a 3.729
_cell_length_b 12.276
_cell_length_c 19.138
_cell_angle_alpha 90.00
_cell_angle_beta 90.00
_cell_angle_gamma 90.00
_symmetry_space_group_name_H-M 'C m c m'
_symmetry_Int_Tables_number 63
_symmetry_space_group_name_Hall '-C 2c 2'
loop_
_atom_site_label
_atom_site_fract_x
_atom_site_fract_y
_atom_site_fract_z
Y1 0.000 0.000 0.000
Y2 0.000 0.147 0.250
Y3 0.000 0.276 0.576
Y4 0.000 0.465 0.146
Te1 0.000 0.160 0.750
C1 0.000 0.091 0.128
C2 0.000 0.363 0.042
```

Calculated values
- M_tot (Bohr magnetons per cell) = 0.000
- E_form (uncorrected) (eV/atom) = -0.466


Entry 6:
A geometry-optimized Y4TeC2 structure. Source: Alexandria via LeMat-Bulk, functional PBE-GGA.

CIF file:
```
data_Y4TeC2
_cell_length_a 3.7456
_cell_length_b 3.7456
_cell_length_c 40.0487
_cell_angle_alpha 90.00
_cell_angle_beta 90.00
_cell_angle_gamma 120.00
_symmetry_space_group_name_H-M 'R -3 m'
_symmetry_Int_Tables_number 166
_symmetry_space_group_name_Hall '-R 3 2"'
loop_
_atom_site_label
_atom_site_fract_x
_atom_site_fract_y
_atom_site_fract_z
Y1 0.0000 0.0000 0.1213
Y2 0.0000 0.0000 0.2782
Te1 0.0000 0.0000 0.0000
C1 0.0000 0.0000 0.4231
```

Calculated values
- M_tot (Bohr magnetons per cell) = 0.003
- ΔE to the lowest computed polymorph (meV per atom) = 30
- E_form (uncorrected) (eV/atom) = -0.588


Entry 7:
A geometry-optimized Y12Te3C5 structure. Source: Alexandria via LeMat-Bulk, functional PBE-GGA.

CIF file:
```
data_Y12Te3C5
_cell_length_a 15.831
_cell_length_b 15.831
_cell_length_c 15.831
_cell_angle_alpha 90.00
_cell_angle_beta 90.00
_cell_angle_gamma 90.00
_symmetry_space_group_name_H-M 'I a -3 d'
_symmetry_Int_Tables_number 230
_symmetry_space_group_name_Hall '-I 4bd 2c 3'
loop_
_atom_site_label
_atom_site_fract_x
_atom_site_fract_y
_atom_site_fract_z
Y1 0.037 0.051 0.647
Te1 0.000 0.250 0.125
C1 0.000 0.000 0.000
C2 0.000 0.250 0.375
```

Calculated values
- M_tot (Bohr magnetons per cell) = 0.000
- E_form (uncorrected) (eV/atom) = -0.434


Entry 8:
A geometry-optimized Y3TeC structure. Source: Alexandria via LeMat-Bulk, functional PBE-GGA.

CIF file:
```
data_Y3TeC
_cell_length_a 12.664
_cell_length_b 13.484
_cell_length_c 6.313
_cell_angle_alpha 90.00
_cell_angle_beta 106.39
_cell_angle_gamma 90.00
_symmetry_space_group_name_H-M 'C 1 2/c 1'
_symmetry_Int_Tables_number 15
loop_
_symmetry_equiv_pos_as_xyz
'x,y,z'
'-x,-y,-z'
'-x,y,-z+1/2'
'x,-y,z+1/2'
'x+1/2,y+1/2,z'
'-x+1/2,-y+1/2,-z'
'-x+1/2,y+1/2,-z+1/2'
'x+1/2,-y+1/2,z+1/2'
loop_
_atom_site_label
_atom_site_fract_x
_atom_site_fract_y
_atom_site_fract_z
Y1 0.078 0.157 0.038
Y2 0.097 0.400 0.057
Y3 0.144 0.296 0.587
Te1 0.170 0.072 0.550
C1 0.000 0.282 0.750
C2 0.000 0.284 0.250
```

Calculated values
- M_tot (Bohr magnetons per cell) = 3.420
- ΔE to the lowest computed polymorph (meV per atom) = 0
- E_form (uncorrected) (eV/atom) = -0.598


Entry 9:
A geometry-optimized Y6Te2C structure. Source: Alexandria via LeMat-Bulk, functional PBE-GGA.

CIF file:
```
data_Y6Te2C
_cell_length_a 6.499
_cell_length_b 7.626
_cell_length_c 11.478
_cell_angle_alpha 90.00
_cell_angle_beta 121.72
_cell_angle_gamma 90.00
_symmetry_space_group_name_H-M 'P 1 21/c 1'
_symmetry_Int_Tables_number 14
loop_
_symmetry_equiv_pos_as_xyz
'x,y,z'
'-x,-y,-z'
'-x,y+1/2,-z+1/2'
'x,-y+1/2,z+1/2'
loop_
_atom_site_label
_atom_site_fract_x
_atom_site_fract_y
_atom_site_fract_z
Y1 0.125 0.021 0.246
Y2 0.183 0.705 0.043
Y3 0.364 0.171 0.037
Te1 0.326 0.111 0.750
C1 0.000 0.000 0.000
```

Calculated values
- M_tot (Bohr magnetons per cell) = 0.001
- E_form (uncorrected) (eV/atom) = -0.682


Entry 10:
A geometry-optimized Y2TeC structure. Source: Alexandria via LeMat-Bulk, functional PBE-GGA.

CIF file:
```
data_Y2TeC
_cell_length_a 3.8237
_cell_length_b 3.8237
_cell_length_c 21.3260
_cell_angle_alpha 90.00
_cell_angle_beta 90.00
_cell_angle_gamma 120.00
_symmetry_space_group_name_H-M 'R 3 m'
_symmetry_Int_Tables_number 160
_symmetry_space_group_name_Hall 'R 3 -2"'
loop_
_atom_site_label
_atom_site_fract_x
_atom_site_fract_y
_atom_site_fract_z
Y1 0.0000 0.0000 0.0000
Y2 0.0000 0.0000 0.2093
Te1 0.0000 0.0000 0.7714
C1 0.0000 0.0000 0.6033
```

Calculated values
- M_tot (Bohr magnetons per cell) = 0.000
- E_form (uncorrected) (eV/atom) = -0.839


Entry 11:
A geometry-optimized Y2TeC2 structure. Source: Alexandria via LeMat-Bulk, functional PBE-GGA.

CIF file:
```
data_Y2TeC2
_cell_length_a 14.175
_cell_length_b 4.156
_cell_length_c 7.056
_cell_angle_alpha 90.00
_cell_angle_beta 101.72
_cell_angle_gamma 90.00
_symmetry_space_group_name_H-M 'C 1 2/c 1'
_symmetry_Int_Tables_number 15
loop_
_symmetry_equiv_pos_as_xyz
'x,y,z'
'-x,-y,-z'
'-x,y,-z+1/2'
'x,-y,z+1/2'
'x+1/2,y+1/2,z'
'-x+1/2,-y+1/2,-z'
'-x+1/2,y+1/2,-z+1/2'
'x+1/2,-y+1/2,z+1/2'
loop_
_atom_site_label
_atom_site_fract_x
_atom_site_fract_y
_atom_site_fract_z
Y1 0.153 0.180 0.139
Te1 0.000 0.296 0.750
C1 0.230 0.373 0.537
```

Calculated values
- M_tot (Bohr magnetons per cell) = 0.000
- ΔE to the lowest computed polymorph (meV per atom) = 0
- E_form (uncorrected) (eV/atom) = -0.731


Entry 12:
A geometry-optimized YTeC2 structure. Source: Alexandria via LeMat-Bulk, functional PBE-GGA.

CIF file:
```
data_YTeC2
_cell_length_a 5.590
_cell_length_b 5.590
_cell_length_c 9.637
_cell_angle_alpha 90.00
_cell_angle_beta 90.00
_cell_angle_gamma 90.00
_symmetry_space_group_name_H-M 'I -4 2 d'
_symmetry_Int_Tables_number 122
_symmetry_space_group_name_Hall 'I -4 2bw'
loop_
_atom_site_label
_atom_site_fract_x
_atom_site_fract_y
_atom_site_fract_z
Y1 0.000 0.000 0.000
Te1 0.000 0.000 0.500
C1 0.220 0.250 0.625
```

Calculated values
- M_tot (Bohr magnetons per cell) = 0.000
- E_form (uncorrected) (eV/atom) = 0.954


Entry 13:
A geometry-optimized YTe3C structure. Source: Alexandria via LeMat-Bulk, functional PBE-GGA.

CIF file:
```
data_YTe3C
_cell_length_a 4.873
_cell_length_b 4.873
_cell_length_c 4.873
_cell_angle_alpha 90.00
_cell_angle_beta 90.00
_cell_angle_gamma 90.00
_symmetry_space_group_name_H-M 'P m -3 m'
_symmetry_Int_Tables_number 221
_symmetry_space_group_name_Hall '-P 4 2 3'
loop_
_atom_site_label
_atom_site_fract_x
_atom_site_fract_y
_atom_site_fract_z
Y1 0.000 0.000 0.000
Te1 0.000 0.500 0.500
C1 0.500 0.500 0.500
```

Calculated values
- M_tot (Bohr magnetons per cell) = 0.000
- ΔE to the lowest computed polymorph (meV per atom) = 0
- E_form (uncorrected) (eV/atom) = 0.271


Entry 14:
A geometry-optimized Y7Te2C2 structure. Source: Alexandria via LeMat-Bulk, functional PBE-GGA.

CIF file:
```
data_Y7Te2C2
_cell_length_a 7.771
_cell_length_b 11.546
_cell_length_c 7.616
_cell_angle_alpha 90.00
_cell_angle_beta 98.29
_cell_angle_gamma 90.00
_symmetry_space_group_name_H-M 'C 1 2/m 1'
_symmetry_Int_Tables_number 12
loop_
_symmetry_equiv_pos_as_xyz
'x,y,z'
'-x,-y,-z'
'-x,y,-z'
'x,-y,z'
'x+1/2,y+1/2,z'
'-x+1/2,-y+1/2,-z'
'-x+1/2,y+1/2,-z'
'x+1/2,-y+1/2,z'
loop_
_atom_site_label
_atom_site_fract_x
_atom_site_fract_y
_atom_site_fract_z
Y1 0.000 0.000 0.000
Y2 0.086 0.500 0.812
Y3 0.240 0.308 0.209
Te1 0.000 0.317 0.500
C1 0.216 0.500 0.119
```

Calculated values
- M_tot (Bohr magnetons per cell) = 0.001
- E_form (uncorrected) (eV/atom) = -0.392


Entry 15:
A geometry-optimized Y2TeC2 structure. Source: Alexandria via LeMat-Bulk, functional PBE-GGA.

CIF file:
```
data_Y2TeC2
_cell_length_a 4.888
_cell_length_b 4.888
_cell_length_c 8.035
_cell_angle_alpha 90.00
_cell_angle_beta 90.00
_cell_angle_gamma 90.00
_symmetry_space_group_name_H-M 'I 4/m m m'
_symmetry_Int_Tables_number 139
_symmetry_space_group_name_Hall '-I 4 2'
loop_
_atom_site_label
_atom_site_fract_x
_atom_site_fract_y
_atom_site_fract_z
Y1 0.000 0.500 0.250
Te1 0.000 0.000 0.000
C1 0.000 0.000 0.419
```

Calculated values
- M_tot (Bohr magnetons per cell) = 0.000
- ΔE to the lowest computed polymorph (meV per atom) = 496
- E_form (uncorrected) (eV/atom) = -0.236


Entry 16:
A geometry-optimized Y2TeC structure. Source: Alexandria via LeMat-Bulk, functional PBE-GGA.

CIF file:
```
data_Y2TeC
_cell_length_a 8.049
_cell_length_b 7.313
_cell_length_c 6.780
_cell_angle_alpha 90.00
_cell_angle_beta 90.24
_cell_angle_gamma 90.00
_symmetry_space_group_name_H-M 'P 1 21/c 1'
_symmetry_Int_Tables_number 14
loop_
_symmetry_equiv_pos_as_xyz
'x,y,z'
'-x,-y,-z'
'-x,y+1/2,-z+1/2'
'x,-y+1/2,z+1/2'
loop_
_atom_site_label
_atom_site_fract_x
_atom_site_fract_y
_atom_site_fract_z
Y1 0.094 0.161 0.125
Y2 0.293 0.705 0.960
Te1 0.380 0.096 0.781
C1 0.103 0.661 0.681
```

Calculated values
- M_tot (Bohr magnetons per cell) = 0.000
- E_form (uncorrected) (eV/atom) = -0.768


Entry 17:
A geometry-optimized Y4Te5C structure. Source: Alexandria via LeMat-Bulk, functional PBE-GGA.

CIF file:
```
data_Y4Te5C
_cell_length_a 17.913
_cell_length_b 3.971
_cell_length_c 8.446
_cell_angle_alpha 90.00
_cell_angle_beta 95.73
_cell_angle_gamma 90.00
_symmetry_space_group_name_H-M 'C 1 2/m 1'
_symmetry_Int_Tables_number 12
loop_
_symmetry_equiv_pos_as_xyz
'x,y,z'
'-x,-y,-z'
'-x,y,-z'
'x,-y,z'
'x+1/2,y+1/2,z'
'-x+1/2,-y+1/2,-z'
'-x+1/2,y+1/2,-z'
'x+1/2,-y+1/2,z'
loop_
_atom_site_label
_atom_site_fract_x
_atom_site_fract_y
_atom_site_fract_z
Y1 0.013 0.000 0.300
Y2 0.145 0.500 0.574
Te1 0.000 0.500 0.000
Te2 0.150 0.000 0.852
Te3 0.181 0.000 0.317
C1 0.000 0.500 0.500
```

Calculated values
- M_tot (Bohr magnetons per cell) = 0.000
- E_form (uncorrected) (eV/atom) = -0.926


Entry 18:
A geometry-optimized Y5Te4C structure. Source: Alexandria via LeMat-Bulk, functional PBE-GGA.

CIF file:
```
data_Y5Te4C
_cell_length_a 9.500
_cell_length_b 9.500
_cell_length_c 6.011
_cell_angle_alpha 90.00
_cell_angle_beta 90.00
_cell_angle_gamma 90.00
_symmetry_space_group_name_H-M 'I 4'
_symmetry_Int_Tables_number 79
loop_
_symmetry_equiv_pos_as_xyz
'x,y,z'
'-y,x,z'
'-x,-y,z'
'y,-x,z'
'x+1/2,y+1/2,z+1/2'
'-y+1/2,x+1/2,z+1/2'
'-x+1/2,-y+1/2,z+1/2'
'y+1/2,-x+1/2,z+1/2'
loop_
_atom_site_label
_atom_site_fract_x
_atom_site_fract_y
_atom_site_fract_z
Y1 0.000 0.000 0.000
Y2 0.091 0.244 0.457
Te1 0.086 0.310 0.958
C1 0.000 0.000 0.432
```

Calculated values
- M_tot (Bohr magnetons per cell) = 0.000
- E_form (uncorrected) (eV/atom) = -1.141